Below is a relaxed Tl5Ge crystal, with properties calculated at the PBE-GGA level.

a = 8.9287 Å, b = 8.9287 Å, c = 3.8199 Å
α = 90.00°, β = 90.00°, γ = 144.90°
With the nearest neighbours (Å) after each atom.
Element x y z (fractional)
Tl 0.0000 0.0000 0.0000  4 Ge 3.30, 8 Tl 3.61-3.62
Tl 0.1796 0.8204 0.5000  10 Tl 3.36-3.61
Tl 0.3577 0.6423 0.0000  2 Ge 3.08, 4 Tl 3.36
Tl 0.6423 0.3577 0.0000  2 Ge 3.08, 4 Tl 3.36
Tl 0.8204 0.1796 0.5000  10 Tl 3.36-3.61
Ge 0.5000 0.5000 0.5000  8 Tl 3.08-3.30

Formation energy from the elements, eV per atom: 0.105
Symmetry: No. 65
Spin magnetization, μB per cell: 0.0
Mass density, g/cm3: 10.379

***

Below is a relaxed PrErZnRu crystal, with properties calculated at the PBE-GGA level.

a = 5.0010 Å, b = 5.0010 Å, c = 5.0010 Å
α = 60.00°, β = 60.00°, γ = 60.00°
With the nearest neighbours (Å) after each atom.
Element x y z (fractional)
Pr 0.0000 0.0000 0.0000  4 Ru 3.06, 4 Zn 3.06
Er 0.5000 0.5000 0.5000  4 Zn 3.06, 4 Ru 3.06
Zn 0.2500 0.2500 0.2500  4 Er 3.06, 4 Pr 3.06
Ru 0.7500 0.7500 0.7500  4 Er 3.06, 4 Pr 3.06

Formation energy from the elements, eV per atom: -0.267
Symmetry: No. 216
Spin magnetization, μB per cell: 0.0
Mass density, g/cm3: 8.912

***

Below is a relaxed YHfZnCu crystal, with properties calculated at the PBE-GGA level.

a = 4.8106 Å, b = 4.8106 Å, c = 4.8106 Å
α = 60.00°, β = 60.00°, γ = 60.00°
With the nearest neighbours (Å) after each atom.
Element x y z (fractional)
Y 0.0000 0.0000 0.0000  4 Zn 2.95, 4 Cu 2.95
Hf 0.5000 0.5000 0.5000  4 Cu 2.95, 4 Zn 2.95
Zn 0.7500 0.7500 0.7500  4 Y 2.95, 4 Hf 2.95
Cu 0.2500 0.2500 0.2500  4 Hf 2.95, 4 Y 2.95

Formation energy from the elements, eV per atom: -0.120
Symmetry: No. 216
Spin magnetization, μB per cell: 0.9
Mass density, g/cm3: 8.361